w | A plane-wave DFT calculation with PBE-GGA was carried out for a relaxed CaPmSb crystal.

Space-group type = I4mm (107)

abc: 4.1270 4.1270 6.1124
angles: 109.73 109.73 90.00
Closest atoms and distances in Å follow each position.
Fractional positions:
Ca (0.6309, 0.6309, 0.2619)  5 Pm 3.24-3.61, 4 Sb 3.36
Pm (0.9330, 0.9330, 0.8659)  5 Ca 3.24-3.61, 4 Sb 3.32
Sb (0.2861, 0.2861, 0.5722)  4 Pm 3.32, 5 Ca 3.36-3.70

---

x | A plane-wave DFT calculation with PBE-GGA was carried out for a relaxed CaPmSb crystal.

Space-group type = P3m1 (156)

abc: 4.2924 5.0412 5.0412
angles: 120.00 90.00 90.00
Closest atoms and distances in Å follow each position.
Fractional positions:
Pm (0.9645, 0.0000, 0.0000)  3 Sb 3.28, 3 Ca 3.51
Ca (0.4219, 0.3333, 0.6667)  3 Sb 3.02
Sb (0.6136, 0.6667, 0.3333)  3 Ca 3.02, 3 Pm 3.28

---

In terms of stability, w leads; the second structure lies 54 meV/atom higher.